# 1
Below is an optimized crystal structure of Hf2Hg2Au, with properties calculated at the PBE level.

Structure (CIF):
```
data_Hf2Hg2Au
_space_group_name_H-M_alt 'P 1'
_space_group_IT_number 1
_cell_length_a 7.258
_cell_length_b 7.258
_cell_length_c 4.345
_cell_angle_alpha 90.00
_cell_angle_beta 90.00
_cell_angle_gamma 90.00
loop_
_space_group_symop_operation_xyz
'x,y,z'
loop_
_atom_site_label
_atom_site_fract_x
_atom_site_fract_y
_atom_site_fract_z
Hg1 0.346 0.154 0.500
Hg2 0.654 0.846 0.500
Hg3 0.846 0.346 0.500
Hg4 0.154 0.654 0.500
Au1 0.500 0.500 0.000
Au2 0.000 0.000 0.000
Hf1 0.850 0.650 0.000
Hf2 0.350 0.850 0.000
Hf3 0.650 0.150 0.000
Hf4 0.150 0.350 0.000
```

Values from the calculation:
* E_form: 121 meV per atom
* polymorph energy (0 for the lowest one): 0.44 eV/f.u.
* space group: P4/mbm (127)
* energy: -4.637 eV/atom

=====

# 2
Below is an optimized crystal structure of HfHg2Au, with properties calculated at the PBE level.

Structure (CIF):
```
data_HfHg2Au
_space_group_name_H-M_alt 'P 1'
_space_group_IT_number 1
_cell_length_a 7.857
_cell_length_b 7.857
_cell_length_c 6.284
_cell_angle_alpha 51.31
_cell_angle_beta 51.31
_cell_angle_gamma 90.00
loop_
_space_group_symop_operation_xyz
'x,y,z'
loop_
_atom_site_label
_atom_site_fract_x
_atom_site_fract_y
_atom_site_fract_z
Hg1 0.630 0.125 0.250
Hg2 0.875 0.880 0.750
Hg3 0.120 0.625 0.250
Hg4 0.375 0.370 0.750
Au1 0.000 0.000 0.000
Au2 0.750 0.250 0.500
Hf1 0.500 0.500 0.000
Hf2 0.250 0.750 0.500
```

Values from the calculation:
* E_form: 174 meV per atom
* polymorph energy (0 for the lowest one): 0.62 eV/f.u.
* space group: I-42d (122)
* energy: -3.285 eV/atom

=====

# 3
Below is an optimized crystal structure of HfHgAu2, with properties calculated at the PBE level.

Structure (CIF):
```
data_HfHgAu2
_space_group_name_H-M_alt 'P 1'
_space_group_IT_number 1
_cell_length_a 2.995
_cell_length_b 2.995
_cell_length_c 11.056
_cell_angle_alpha 82.22
_cell_angle_beta 82.22
_cell_angle_gamma 60.00
loop_
_space_group_symop_operation_xyz
'x,y,z'
loop_
_atom_site_label
_atom_site_fract_x
_atom_site_fract_y
_atom_site_fract_z
Au1 0.918 0.918 0.247
Au2 0.082 0.082 0.753
Hf1 0.000 0.000 0.000
Hg1 0.500 0.500 0.500
```

Values from the calculation:
* E_form: 149 meV per atom
* space group: R-3m (166)
* energy: -4.054 eV/atom

=====

# 4
Below is an optimized crystal structure of Hf2HgAu, with properties calculated at the PBE level.

Structure (CIF):
```
data_Hf2HgAu
_space_group_name_H-M_alt 'P 1'
_space_group_IT_number 1
_cell_length_a 7.562
_cell_length_b 7.562
_cell_length_c 6.213
_cell_angle_alpha 52.52
_cell_angle_beta 52.52
_cell_angle_gamma 90.00
loop_
_space_group_symop_operation_xyz
'x,y,z'
loop_
_atom_site_label
_atom_site_fract_x
_atom_site_fract_y
_atom_site_fract_z
Hg1 0.000 0.000 0.000
Hg2 0.750 0.250 0.500
Hf1 0.375 0.395 0.750
Hf2 0.875 0.855 0.750
Hf3 0.145 0.625 0.250
Hf4 0.605 0.125 0.250
Au1 0.500 0.500 0.000
Au2 0.250 0.750 0.500
```

Values from the calculation:
* E_form: 118 meV per atom
* space group: I-42d (122)
* energy: -5.754 eV/atom

=====

# 5
Below is an optimized crystal structure of Hf2Hg2Au, with properties calculated at the PBE level.

Structure (CIF):
```
data_Hf2Hg2Au
_space_group_name_H-M_alt 'P 1'
_space_group_IT_number 1
_cell_length_a 7.239
_cell_length_b 7.239
_cell_length_c 4.047
_cell_angle_alpha 90.00
_cell_angle_beta 90.00
_cell_angle_gamma 90.00
loop_
_space_group_symop_operation_xyz
'x,y,z'
loop_
_atom_site_label
_atom_site_fract_x
_atom_site_fract_y
_atom_site_fract_z
Hf1 0.334 0.166 0.500
Hf2 0.166 0.666 0.500
Hf3 0.834 0.334 0.500
Hf4 0.666 0.834 0.500
Hg1 0.138 0.362 0.000
Hg2 0.638 0.138 0.000
Hg3 0.862 0.638 0.000
Hg4 0.362 0.862 0.000
Au1 0.000 0.000 0.000
Au2 0.500 0.500 0.000
```

Values from the calculation:
* E_form: 32 meV per atom
* polymorph energy (0 for the lowest one): 0.00 eV/f.u.
* space group: P4/mbm (127)
* energy: -4.726 eV/atom

=====

# 6
Below is an optimized crystal structure of HfHg2Au2, with properties calculated at the PBE level.

Structure (CIF):
```
data_HfHg2Au2
_space_group_name_H-M_alt 'P 1'
_space_group_IT_number 1
_cell_length_a 8.065
_cell_length_b 8.065
_cell_length_c 3.174
_cell_angle_alpha 90.00
_cell_angle_beta 90.00
_cell_angle_gamma 90.00
loop_
_space_group_symop_operation_xyz
'x,y,z'
loop_
_atom_site_label
_atom_site_fract_x
_atom_site_fract_y
_atom_site_fract_z
Hg1 0.628 0.128 0.000
Hg2 0.372 0.872 0.000
Hg3 0.872 0.628 0.000
Hg4 0.128 0.372 0.000
Hf1 0.000 0.000 0.000
Hf2 0.500 0.500 0.000
Au1 0.827 0.327 0.500
Au2 0.673 0.827 0.500
Au3 0.173 0.673 0.500
Au4 0.327 0.173 0.500
```

Values from the calculation:
* E_form: 161 meV per atom
* polymorph energy (0 for the lowest one): 0.45 eV/f.u.
* space group: P4/mbm (127)
* energy: -3.261 eV/atom

=====

# 7
Below is an optimized crystal structure of HfHg2Au, with properties calculated at the PBE level.

Structure (CIF):
```
data_HfHg2Au
_space_group_name_H-M_alt 'P 1'
_space_group_IT_number 1
_cell_length_a 3.128
_cell_length_b 3.128
_cell_length_c 10.817
_cell_angle_alpha 81.69
_cell_angle_beta 81.69
_cell_angle_gamma 60.00
loop_
_space_group_symop_operation_xyz
'x,y,z'
loop_
_atom_site_label
_atom_site_fract_x
_atom_site_fract_y
_atom_site_fract_z
Hf1 0.000 0.000 0.000
Hg1 0.910 0.910 0.270
Hg2 0.090 0.090 0.730
Au1 0.500 0.500 0.500
```

Values from the calculation:
* E_form: 305 meV per atom
* polymorph energy (0 for the lowest one): 1.15 eV/f.u.
* space group: R-3m (166)
* energy: -3.154 eV/atom

=====

# 8
Below is an optimized crystal structure of Hf2HgAu, with properties calculated at the PBE level.

Structure (CIF):
```
data_Hf2HgAu
_space_group_name_H-M_alt 'P 1'
_space_group_IT_number 1
_cell_length_a 4.172
_cell_length_b 4.396
_cell_length_c 4.396
_cell_angle_alpha 90.00
_cell_angle_beta 90.00
_cell_angle_gamma 90.00
loop_
_space_group_symop_operation_xyz
'x,y,z'
loop_
_atom_site_label
_atom_site_fract_x
_atom_site_fract_y
_atom_site_fract_z
Hg1 0.500 0.500 0.500
Hf1 0.000 0.000 0.500
Hf2 0.000 0.500 0.000
Au1 0.500 0.000 0.000
```

Values from the calculation:
* E_form: -217 meV per atom
* space group: P4/mmm (123)
* energy: -6.089 eV/atom

=====

# 9
Below is an optimized crystal structure of HfHg2Au2, with properties calculated at the PBE level.

Structure (CIF):
```
data_HfHg2Au2
_space_group_name_H-M_alt 'P 1'
_space_group_IT_number 1
_cell_length_a 7.254
_cell_length_b 7.254
_cell_length_c 4.120
_cell_angle_alpha 90.00
_cell_angle_beta 90.00
_cell_angle_gamma 90.00
loop_
_space_group_symop_operation_xyz
'x,y,z'
loop_
_atom_site_label
_atom_site_fract_x
_atom_site_fract_y
_atom_site_fract_z
Hf1 0.500 0.500 0.000
Hf2 0.000 0.000 0.000
Hg1 0.328 0.172 0.500
Hg2 0.828 0.328 0.500
Hg3 0.672 0.828 0.500
Hg4 0.172 0.672 0.500
Au1 0.865 0.635 0.000
Au2 0.135 0.365 0.000
Au3 0.635 0.135 0.000
Au4 0.365 0.865 0.000
```

Values from the calculation:
* E_form: 72 meV per atom
* polymorph energy (0 for the lowest one): 0.00 eV/f.u.
* space group: P4/mbm (127)
* energy: -3.351 eV/atom

=====

# 10
Below is an optimized crystal structure of HoHfHgAu, with properties calculated at the PBE level.

Structure (CIF):
```
data_HoHfHgAu
_space_group_name_H-M_alt 'P 1'
_space_group_IT_number 1
_cell_length_a 5.009
_cell_length_b 5.009
_cell_length_c 5.009
_cell_angle_alpha 60.00
_cell_angle_beta 60.00
_cell_angle_gamma 60.00
loop_
_space_group_symop_operation_xyz
'x,y,z'
loop_
_atom_site_label
_atom_site_fract_x
_atom_site_fract_y
_atom_site_fract_z
Ho1 0.000 0.000 0.000
Hg1 0.750 0.750 0.750
Au1 0.250 0.250 0.250
Hf1 0.500 0.500 0.500
```

Values from the calculation:
* E_form: -360 meV per atom
* space group: F-43m (216)
* energy: -4.887 eV/atom

=====

# 11
Below is an optimized crystal structure of Li2HfHgAu, with properties calculated at the PBE level.

Structure (CIF):
```
data_Li2HfHgAu
_space_group_name_H-M_alt 'P 1'
_space_group_IT_number 1
_cell_length_a 4.521
_cell_length_b 5.200
_cell_length_c 4.521
_cell_angle_alpha 90.00
_cell_angle_beta 90.00
_cell_angle_gamma 90.00
loop_
_space_group_symop_operation_xyz
'x,y,z'
loop_
_atom_site_label
_atom_site_fract_x
_atom_site_fract_y
_atom_site_fract_z
Li1 0.000 0.000 0.500
Li2 0.500 0.000 0.000
Hg1 0.000 0.000 0.000
Au1 0.000 0.500 0.000
Hf1 0.500 0.500 0.500
```

Values from the calculation:
* E_form: 494 meV per atom
* space group: P4/mmm (123)
* energy: -2.978 eV/atom

=====

# 12
Below is an optimized crystal structure of LiHfHgAu, with properties calculated at the PBE level.

Structure (CIF):
```
data_LiHfHgAu
_space_group_name_H-M_alt 'P 1'
_space_group_IT_number 1
_cell_length_a 4.720
_cell_length_b 4.720
_cell_length_c 4.720
_cell_angle_alpha 60.00
_cell_angle_beta 60.00
_cell_angle_gamma 60.00
loop_
_space_group_symop_operation_xyz
'x,y,z'
loop_
_atom_site_label
_atom_site_fract_x
_atom_site_fract_y
_atom_site_fract_z
Hg1 0.750 0.750 0.750
Hf1 0.500 0.500 0.500
Au1 0.250 0.250 0.250
Li1 0.000 0.000 0.000
```

Values from the calculation:
* E_form: -334 meV per atom
* space group: F-43m (216)
* energy: -4.195 eV/atom

=====

Q: Which formula does entry 12 have?
A: LiHfHgAu